DFT (PBE) results for a relaxed structure of AlSb2Au2.

a b c (Å): 7.769 7.769 3.891
angles (deg): 90.00 90.00 90.00
Atoms (fractional coordinates):
Au: 0.872 0.372 0.500
Au: 0.128 0.628 0.500
Au: 0.372 0.128 0.500
Sb: 0.682 0.182 0.000
Al: 0.000 0.000 0.000
Au: 0.628 0.872 0.500
Sb: 0.318 0.818 0.000
Sb: 0.182 0.318 0.000
Sb: 0.818 0.682 0.000
Al: 0.500 0.500 0.000

Calculated values
Density of states at the Fermi level ... 0.533 states/eV/atom
Space group ... P4/mbm (127)
Offset from the most stable computed form ... 0.47 eV per formula unit
Energy relative to the elements, uncorrected ... 0.8 eV per formula unit